# 1
CsTl2W | PBE | optimized geometry

Lattice parameters (Å, degrees): 7.3070 7.3070 9.2253 66.67 66.67 90.00
With the nearest neighbours (Å) after each atom.
Fractional coordinates of all 8 atoms:
1 Cs 0.5000 0.5000 0.0000  8 Tl 4.41-4.61
2 Cs 0.2500 0.7500 0.5000  8 Tl 4.41-4.61
3 Tl 0.8584 0.1250 0.2500  2 W 2.65
4 Tl 0.8916 0.6250 0.2500  2 W 2.65
5 Tl 0.3750 0.1416 0.7500  2 W 2.65
6 Tl 0.8750 0.1084 0.7500  2 W 2.65
7 W 0.0000 0.0000 0.0000  4 Tl 2.65
8 W 0.7500 0.2500 0.5000  4 Tl 2.65

Values from the calculation:
Uncorrected energy (eV/atom): -3.567
SG: No. 122
Size of the total moment (μB per atom): 0.00
Crystal system: tetragonal
Formation enthalpy at 0 K (kJ/mol of formula units): 412



# 2
Cs3TlW | PBE | optimized geometry

Lattice parameters (Å, degrees): 6.3241 6.3241 6.3241 90.00 90.00 90.00
With the nearest neighbours (Å) after each atom.
Fractional coordinates of all 5 atoms:
1 Cs 0.0000 0.5000 0.0000  2 W 3.16
2 Cs 0.0000 0.0000 0.5000  2 W 3.16
3 Cs 0.5000 0.0000 0.0000  2 W 3.16
4 Tl 0.5000 0.5000 0.5000  12 Cs 4.47
5 W 0.0000 0.0000 0.0000  6 Cs 3.16

Values from the calculation:
Uncorrected energy (eV/atom): -1.933
SG: No. 221
Size of the total moment (μB per atom): 0.00
Crystal system: cubic
Formation enthalpy at 0 K (kJ/mol of formula units): 793



# 3
CsY2Tl | PBE | optimized geometry

Lattice parameters (Å, degrees): 6.6077 6.6077 11.2891 72.98 72.98 90.00
With the nearest neighbours (Å) after each atom.
Fractional coordinates of all 8 atoms:
1 Cs 0.5000 0.5000 0.0000  8 Y 4.50, 4 Tl 4.67
2 Cs 0.2500 0.7500 0.5000  8 Y 4.50, 4 Tl 4.67
3 Y 0.8746 0.1250 0.2500  2 Tl 3.05, 2 Y 3.30
4 Y 0.8754 0.6250 0.2500  2 Tl 3.05, 2 Y 3.30
5 Y 0.3750 0.1254 0.7500  2 Tl 3.05, 2 Y 3.30
6 Y 0.8750 0.1246 0.7500  2 Tl 3.05, 2 Y 3.30
7 Tl 0.0000 0.0000 0.0000  4 Y 3.05
8 Tl 0.7500 0.2500 0.5000  4 Y 3.05

Values from the calculation:
Uncorrected energy (eV/atom): -3.419
SG: No. 141
Size of the total moment (μB per atom): 0.00
Crystal system: tetragonal
Formation enthalpy at 0 K (kJ/mol of formula units): 239